# HoGa3Au2

HoGa3Au2 after structural relaxation (PBE, the Alexandria database).

Output
Spin magnetization = 0.0000 μB per atom
Crystal system = monoclinic
Calculated formation energy = -2.4 eV per formula unit
V = 19.92 Å³/atom

Lattice parameters (Å, degrees): 6.1419 6.1965 6.3439 90.00 98.05 90.00
Closest atoms and distances in Å follow each position.
Space group P2_1/m (No. 11)
One atom of each set of equivalent atoms:
Ho  0.1507  0.2500  0.1383 (multiplicity 2)  1 Ga 2.91, 4 Au 3.06-3.07
Ga  0.0772  0.7500  0.3680 (multiplicity 2)  2 Au 2.61, 2 Ga 2.64-2.68
Ga  0.3651  0.7500  0.0862 (multiplicity 2)  4 Au 2.62-2.89, 2 Ga 2.63-2.68
Ga  0.4960  0.2500  0.5018 (multiplicity 2)  2 Ga 2.63-2.64, 4 Au 2.81-2.82, 1 Ho 2.91
Au  0.2542  0.5050  0.7522 (multiplicity 4)  5 Ga 2.61-2.89